(1)
A relaxed TbNd6Er2Tm3 crystal, computed with PBE-GGA.

Geometry as CIF:
```
data_TbNd6Er2Tm3
_cell_length_a 6.245
_cell_length_b 10.814
_cell_length_c 11.770
_cell_angle_alpha 90.00
_cell_angle_beta 100.16
_cell_angle_gamma 90.00
_symmetry_space_group_name_H-M 'C 1 2/m 1'
_symmetry_Int_Tables_number 12
_symmetry_space_group_name_Hall '-C 2y'
loop_
_atom_site_label
_atom_site_type_symbol
_atom_site_fract_x
_atom_site_fract_y
_atom_site_fract_z
Tb1 Tb 0.000 0.000 0.000
Nd1 Nd 0.249 0.333 0.749
Nd2 Nd 0.250 0.000 0.749
Er1 Er 0.000 0.333 0.000
Tm1 Tm 0.000 0.167 0.500
Tm2 Tm 0.000 0.500 0.500
```

Total energy ... -111.2 eV per cell
ΔE_f ... 0.014 eV per atom



(2)
A relaxed Tb2NdErTm5 crystal, computed with PBE-GGA.

Geometry as CIF:
```
data_Tb2NdErTm5
_cell_length_a 8.830
_cell_length_b 8.830
_cell_length_c 14.645
_cell_angle_alpha 90.00
_cell_angle_beta 90.00
_cell_angle_gamma 90.00
_symmetry_space_group_name_H-M 'I 4/m c m'
_symmetry_Int_Tables_number 140
_symmetry_space_group_name_Hall '-I 4 2c'
loop_
_atom_site_label
_atom_site_type_symbol
_atom_site_fract_x
_atom_site_fract_y
_atom_site_fract_z
Tb1 Tb 0.113 0.387 0.000
Nd1 Nd 0.000 0.000 0.250
Er1 Er 0.000 0.500 0.250
Tm1 Tm 0.000 0.000 0.000
Tm2 Tm 0.206 0.294 0.367
```

Total energy ... -153.5 eV per cell
ΔE_f ... 0.287 eV per atom



(3)
A relaxed Tb2NdEr2Tm crystal, computed with PBE-GGA.

Geometry as CIF:
```
data_Tb2NdEr2Tm
_cell_length_a 6.931
_cell_length_b 9.744
_cell_length_c 5.592
_cell_angle_alpha 90.00
_cell_angle_beta 90.00
_cell_angle_gamma 90.00
_symmetry_space_group_name_H-M 'P n n m'
_symmetry_Int_Tables_number 58
_symmetry_space_group_name_Hall '-P 2 2n'
loop_
_atom_site_label
_atom_site_type_symbol
_atom_site_fract_x
_atom_site_fract_y
_atom_site_fract_z
Tb1 Tb 0.248 0.167 0.000
Nd1 Nd 0.000 0.500 0.000
Er1 Er 0.249 0.833 0.000
Tm1 Tm 0.000 0.000 0.500
```

Total energy ... -54.4 eV per cell
ΔE_f ... 0.071 eV per atom



(4)
A relaxed Tb6NdEr2Tm3 crystal, computed with PBE-GGA.

Geometry as CIF:
```
data_Tb6NdEr2Tm3
_cell_length_a 6.138
_cell_length_b 10.620
_cell_length_c 11.733
_cell_angle_alpha 90.00
_cell_angle_beta 99.99
_cell_angle_gamma 90.00
_symmetry_space_group_name_H-M 'C 1 2/m 1'
_symmetry_Int_Tables_number 12
_symmetry_space_group_name_Hall '-C 2y'
loop_
_atom_site_label
_atom_site_type_symbol
_atom_site_fract_x
_atom_site_fract_y
_atom_site_fract_z
Tb1 Tb 0.248 0.167 0.248
Tb2 Tb 0.249 0.500 0.248
Nd1 Nd 0.000 0.500 0.500
Er1 Er 0.000 0.167 0.500
Tm1 Tm 0.000 0.000 0.000
Tm2 Tm 0.000 0.333 0.000
```

Total energy ... -109.7 eV per cell
ΔE_f ... 0.019 eV per atom



What is the ΔE_f in the third record?
0.071 eV per atom



Among the records above, which one has the highest total energy?
Tb2NdEr2Tm



What is the formula in the first record?
TbNd6Er2Tm3